(1)
## Al4Zn2Ag3 (PBE-GGA)

Data for crystalline Al4Zn2Ag3 at its relaxed geometry.

## Properties
Crystal system ... triclinic
Mass density ... 5.16 g/cm3
SG ... P-1
E_tot ... -2.793 eV/atom

a = 5.351 Å, b = 6.747 Å, c = 10.870 Å
α = 107.16°, β = 103.20°, γ = 93.02°
Fractional positions:
1 Al 0.040 0.031 0.139
2 Al 0.107 0.608 0.715
3 Al 0.392 0.391 0.283
4 Al 0.400 0.392 0.861
5 Al 0.600 0.608 0.139
6 Al 0.608 0.609 0.717
7 Al 0.893 0.392 0.285
8 Al 0.960 0.969 0.861
9 Zn 0.033 0.344 0.041
10 Zn 0.482 0.804 0.960
11 Zn 0.518 0.196 0.040
12 Zn 0.967 0.656 0.959
13 Ag 0.153 0.727 0.243
14 Ag 0.257 0.592 0.500
15 Ag 0.410 0.985 0.757
16 Ag 0.590 0.015 0.243
17 Ag 0.743 0.408 0.500
18 Ag 0.847 0.273 0.757

---

(2)
## Rb2NdAlTe4 (PBE-GGA)

Data for crystalline Rb2NdAlTe4 at its relaxed geometry.

## Properties
Uncorrected formation energy ... -0.9053 eV/atom
Crystal system ... orthorhombic
Mass density ... 4.84 g/cm3
SG ... Imma

a = 9.412 Å, b = 9.412 Å, c = 9.412 Å
α = 122.51°, β = 118.21°, γ = 89.42°
Fractional positions:
1 Rb 0.000 0.000 0.000
2 Rb 0.500 0.000 0.000
3 Rb 0.500 0.000 0.500
4 Rb 0.500 0.500 0.500
5 Nd 0.000 0.500 0.500
6 Nd 0.500 0.500 0.000
7 Al 0.000 0.000 0.500
8 Al 0.000 0.500 0.000
9 Te 0.186 0.740 0.446
10 Te 0.206 0.260 0.946
11 Te 0.224 0.245 0.521
12 Te 0.224 0.703 0.979
13 Te 0.776 0.297 0.021
14 Te 0.776 0.755 0.479
15 Te 0.794 0.740 0.054
16 Te 0.814 0.260 0.554

---

(3)
## Pm6Pt2AuI3 (PBE-GGA)

Data for crystalline Pm6Pt2AuI3 at its relaxed geometry.

## Properties
Uncorrected formation energy ... -1.0306 eV/atom
Crystal system ... monoclinic
Mass density ... 8.02 g/cm3
SG ... C2/m

a = 7.398 Å, b = 7.398 Å, c = 8.397 Å
α = 98.46°, β = 98.46°, γ = 119.97°
Fractional positions:
1 Pm 0.091 0.436 0.808
2 Pm 0.219 0.219 0.191
3 Pm 0.436 0.091 0.808
4 Pm 0.564 0.909 0.192
5 Pm 0.781 0.781 0.809
6 Pm 0.909 0.564 0.192
7 Pt 0.167 0.833 0.000
8 Pt 0.833 0.167 0.000
9 Au 0.500 0.500 0.000
10 I 0.000 0.000 0.500
11 I 0.335 0.665 0.500
12 I 0.665 0.335 0.500

---

(4)
## ZrSb2TeF (PBE-GGA)

Data for crystalline ZrSb2TeF at its relaxed geometry.

## Properties
Uncorrected formation energy ... -0.1266 eV/atom
Crystal system ... tetragonal
Mass density ... 4.80 g/cm3
SG ... P4/mmm
E above lowest polymorph ... 0.114 eV per atom

a = 5.529 Å, b = 5.529 Å, c = 5.446 Å
α = 90.00°, β = 90.00°, γ = 90.00°
Fractional positions:
1 Zr 0.000 0.000 0.000
2 Sb 0.000 0.500 0.000
3 Sb 0.500 0.000 0.000
4 Te 0.000 0.000 0.500
5 F 0.500 0.500 0.500